No. 1
Computed, not measured: an optimized crystal structure of KTlPd4 at the PBE-GGA level of DFT.

Cell: 7.786 7.786 7.786 Å, 90.00 90.00 90.00°
Space group F-43m (No. 216)
Inequivalent atoms, fractional coordinates:
K: 0.000 0.000 0.000 (multiplicity 4)
Tl: 0.250 0.250 0.750 (multiplicity 4)
Pd: 0.125 0.125 0.375 (multiplicity 16)

Computed properties:
Energy above the lowest structure with this stoichiometry (meV/atom): 0
Energy relative to the elements (eV/atom): -0.0551
Crystal system: cubic

No. 2
Computed, not measured: an optimized crystal structure of K2Tl12Pd7 at the PBE-GGA level of DFT.

Cell: 11.6036 11.6036 4.5001 Å, 90.00 90.00 120.00°
Space group P-6 (No. 174)
Inequivalent atoms, fractional coordinates:
K: 0.0000 0.0000 0.0000 (multiplicity 1)
K: 0.3333 0.6667 0.5000 (multiplicity 1)
Tl: 0.0386 0.2675 0.5000 (multiplicity 3)
Tl: 0.1325 0.7163 0.0000 (multiplicity 3)
Tl: 0.3814 0.1922 0.0000 (multiplicity 3)
Tl: 0.5493 0.4329 0.5000 (multiplicity 3)
Pd: 0.0449 0.4386 0.0000 (multiplicity 3)
Pd: 0.2625 0.2379 0.5000 (multiplicity 3)
Pd: 0.6667 0.3333 0.0000 (multiplicity 1)

Computed properties:
Energy relative to the elements (eV/atom): -0.1246
Crystal system: hexagonal

No. 3
Computed, not measured: an optimized crystal structure of KTl2Pd at the PBE-GGA level of DFT.

Cell: 5.938 5.938 17.675 Å, 90.00 90.00 90.00°
Space group I-42d (No. 122)
Inequivalent atoms, fractional coordinates:
K: 0.000 0.000 0.000 (multiplicity 4)
Tl: 0.075 0.250 0.625 (multiplicity 8)
Pd: 0.000 0.000 0.500 (multiplicity 4)

Computed properties:
Energy relative to the elements (eV/atom): 0.0321
Crystal system: tetragonal

No. 4
Computed, not measured: an optimized crystal structure of K2TlPd2 at the PBE-GGA level of DFT.

Cell: 4.7261 4.7261 29.5354 Å, 90.00 90.00 120.00°
Space group R-3m (No. 166, hexagonal axes)
Inequivalent atoms, fractional coordinates:
K: 0.0000 0.0000 0.0742 (multiplicity 6)
Tl: 0.0000 0.0000 0.5000 (multiplicity 3)
Pd: 0.0000 0.0000 0.1817 (multiplicity 6)

Computed properties:
Energy above the lowest structure with this stoichiometry (meV/atom): 0
Energy relative to the elements (eV/atom): -0.1634
Crystal system: trigonal

No. 5
Computed, not measured: an optimized crystal structure of K4Tl5Pd3 at the PBE-GGA level of DFT.

Cell: 6.352 6.622 9.297 Å, 110.71 103.18 91.21°
Space group P-1 (No. 2)
Inequivalent atoms, fractional coordinates:
K: 0.143 0.300 0.103 (multiplicity 2)
K: 0.220 0.932 0.368 (multiplicity 2)
Tl: 0.278 0.862 0.740 (multiplicity 2)
Tl: 0.314 0.390 0.770 (multiplicity 2)
Tl: 0.500 0.500 0.500 (multiplicity 1)
Pd: 0.000 0.500 0.500 (multiplicity 1)
Pd: 0.425 0.800 0.030 (multiplicity 2)

Computed properties:
Energy relative to the elements (eV/atom): -0.1279
Crystal system: triclinic

No. 6
Computed, not measured: an optimized crystal structure of KTl6Pd4 at the PBE-GGA level of DFT.

Cell: 7.276 7.276 10.413 Å, 90.00 90.00 90.00°
Space group I-42m (No. 121)
Inequivalent atoms, fractional coordinates:
K: 0.000 0.000 0.000 (multiplicity 2)
Tl: 0.000 0.500 0.000 (multiplicity 4)
Tl: 0.185 0.185 0.709 (multiplicity 8)
Pd: 0.161 0.161 0.422 (multiplicity 8)

Computed properties:
Energy relative to the elements (eV/atom): -0.1763
Crystal system: tetragonal

No. 7
Computed, not measured: an optimized crystal structure of KTlPd at the PBE-GGA level of DFT.

Cell: 6.666 6.649 8.060 Å, 90.00 90.14 90.00°
Space group C2/m (No. 12)
Inequivalent atoms, fractional coordinates:
K: 0.249 0.000 0.327 (multiplicity 4)
Tl: 0.247 0.500 0.190 (multiplicity 4)
Pd: 0.000 0.246 0.000 (multiplicity 4)

Computed properties:
Energy relative to the elements (eV/atom): -0.1865
Crystal system: monoclinic

No. 8
Computed, not measured: an optimized crystal structure of K2Tl3Pd2 at the PBE-GGA level of DFT.

Cell: 11.986 4.572 8.245 Å, 90.00 118.58 90.00°
Space group C2/m (No. 12)
Inequivalent atoms, fractional coordinates:
K: 0.148 0.000 0.281 (multiplicity 4)
Tl: 0.000 0.500 0.500 (multiplicity 2)
Tl: 0.140 0.500 0.949 (multiplicity 4)
Pd: 0.118 0.000 0.707 (multiplicity 4)

Computed properties:
Energy relative to the elements (eV/atom): -0.1890
Crystal system: monoclinic